No. 1
# KScIn3

Crystalline KScIn3 at its relaxed geometry (PBE, the Alexandria database).

abc: 5.695 5.695 5.695
angles: 90.00 90.00 90.00
Space group Pm-3m (No. 221)
Unique sites:
K 0.000 0.000 0.000
Sc 0.500 0.500 0.500
In 0.000 0.500 0.500

Properties
Total moment, μB per cell: 0.00
Uncorrected energy, eV per atom: -2.97
DFT formation energy, eV per atom: 0.16
Polymorph energy (0 for the lowest one), eV per formula unit: 0.000

***

No. 2
# K2ScIn

Crystalline K2ScIn at its relaxed geometry (PBE, the Alexandria database).

abc: 8.099 8.099 8.099
angles: 90.00 90.00 90.00
Space group F-43m (No. 216)
Unique sites:
K 0.000 0.000 0.000
K 0.250 0.250 0.250
Sc 0.000 0.000 0.500
In 0.250 0.250 0.750

Properties
Total moment, μB per cell: 0.00
Uncorrected energy, eV per atom: -2.50
DFT formation energy, eV per atom: 0.32

***

No. 3
# KSc2In

Crystalline KSc2In at its relaxed geometry (PBE, the Alexandria database).

abc: 6.760 10.191 3.248
angles: 90.00 90.00 90.00
Space group Cmmm (No. 65)
Unique sites:
K 0.000 0.000 0.000
Sc 0.250 0.250 0.500
In 0.000 0.500 0.000

Properties
Total moment, μB per cell: 2.94
Uncorrected energy, eV per atom: -3.72
DFT formation energy, eV per atom: 0.41

***

No. 4
# KSc2In

Crystalline KSc2In at its relaxed geometry (PBE, the Alexandria database).

abc: 10.222 3.406 7.051
angles: 90.00 95.78 90.00
Space group C2/m (No. 12)
Unique sites:
K 0.000 0.000 0.000
Sc 0.230 0.000 0.673
In 0.000 0.500 0.500

Properties
Total moment, μB per cell: 0.00
Uncorrected energy, eV per atom: -3.94
DFT formation energy, eV per atom: 0.18

***

No. 5
# KSc2In

Crystalline KSc2In at its relaxed geometry (PBE, the Alexandria database).

abc: 3.4830 3.4830 34.4712
angles: 90.00 90.00 120.00
Space group R-3m (No. 166, hexagonal axes)
Unique sites:
K 0.0000 0.0000 0.0000
Sc 0.0000 0.0000 0.2334
In 0.0000 0.0000 0.5000

Properties
Total moment, μB per cell: 0.00
Uncorrected energy, eV per atom: -3.94
DFT formation energy, eV per atom: 0.19

***

No. 6
# KSc3In

Crystalline KSc3In at its relaxed geometry (PBE, the Alexandria database).

abc: 5.592 5.592 5.592
angles: 90.00 90.00 90.00
Space group Pm-3m (No. 221)
Unique sites:
K 0.000 0.000 0.000
Sc 0.000 0.500 0.500
In 0.500 0.500 0.500

Properties
Total moment, μB per cell: 2.53
Uncorrected energy, eV per atom: -4.03
DFT formation energy, eV per atom: 0.53
Polymorph energy (0 for the lowest one), eV per formula unit: 0.000